No. 1
Material: KBa2TlH
Method: DFT, PBE-GGA
State: relaxed

The energy above the most stable polymorph in this dataset is 0 meV per atom. The calculation puts the magnetic moment at 0.0 μB/cell.

Cell lengths 5.8012, 5.8012, 5.2218 Å; angles 90.00, 90.00, 90.00 degrees
Last column: nearest neighbours and their distance in Å.
Sites, in units of the cell vectors:
K: 0.0000 0.0000 0.0000  2 H 2.61
Ba: 0.0000 0.5000 0.5000  2 H 2.90
Ba: 0.5000 0.0000 0.5000  2 H 2.90
Tl: 0.5000 0.5000 0.0000  8 Ba 3.90, 4 K 4.10
H: 0.0000 0.0000 0.5000  2 K 2.61, 4 Ba 2.90



No. 2
Material: KBa2TlH
Method: DFT, PBE-GGA
State: relaxed

The energy above the most stable polymorph in this dataset is 143 meV per atom. The calculation puts the magnetic moment at 0.0 μB/cell.

Cell lengths 5.8617, 5.8617, 5.2452 Å; angles 90.00, 90.00, 90.00 degrees
Last column: nearest neighbours and their distance in Å.
Sites, in units of the cell vectors:
K: 0.0000 0.0000 0.0000  8 Ba 3.93, 4 Tl 4.14
Ba: 0.0000 0.5000 0.5000  2 H 2.93
Ba: 0.5000 0.0000 0.5000  2 H 2.93
Tl: 0.5000 0.5000 0.0000  2 H 2.62
H: 0.5000 0.5000 0.5000  2 Tl 2.62, 4 Ba 2.93



No. 3
Material: K2BaVH6
Method: DFT, PBE-GGA
State: relaxed

The calculated total energy is -3.529 eV per atom. The calculation puts the magnetic moment at 6.0 μB/cell.

Cell lengths 5.9521, 8.5308, 6.6129 Å; angles 90.00, 90.00, 90.00 degrees
Last column: nearest neighbours and their distance in Å.
Sites, in units of the cell vectors:
K: 0.2500 0.0228 0.1926  7 H 2.64-2.96
K: 0.2500 0.4772 0.1926  7 H 2.64-2.96
K: 0.7500 0.5228 0.8074  7 H 2.64-2.96
K: 0.7500 0.9772 0.8074  7 H 2.64-2.96
Ba: 0.2500 0.2500 0.6917  6 H 2.52-2.67
Ba: 0.7500 0.7500 0.3083  6 H 2.52-2.67
V: 0.2500 0.7500 0.7865  6 H 1.83-1.88
V: 0.7500 0.2500 0.2135  6 H 1.83-1.88
H: 0.0178 0.7500 0.6041  1 V 1.83
H: 0.0352 0.7500 0.9957  1 V 1.88
H: 0.2500 0.5343 0.7995  1 V 1.84
H: 0.2500 0.9657 0.7995  1 V 1.84
H: 0.4648 0.7500 0.9957  1 V 1.88
H: 0.4822 0.7500 0.6041  1 V 1.83
H: 0.5178 0.2500 0.3959  1 V 1.83
H: 0.5352 0.2500 0.0043  1 V 1.88
H: 0.7500 0.0343 0.2005  1 V 1.84
H: 0.7500 0.4657 0.2005  1 V 1.84
H: 0.9648 0.2500 0.0043  1 V 1.88
H: 0.9822 0.2500 0.3959  1 V 1.83



No. 4
Material: KBaZn2H6
Method: DFT, PBE-GGA
State: relaxed

The calculated total energy is -2.702 eV per atom. The calculation puts the magnetic moment at 0.0 μB/cell.

Cell lengths 7.7693, 7.7693, 7.7693 Å; angles 39.72, 39.72, 39.72 degrees
Last column: nearest neighbours and their distance in Å.
Sites, in units of the cell vectors:
K: 0.0000 0.0000 0.0000  6 H 2.65
Ba: 0.5000 0.5000 0.5000  12 H 2.97
Zn: 0.2406 0.2406 0.2406  3 H 1.61
Zn: 0.7594 0.7594 0.7594  3 H 1.61
H: 0.0564 0.0564 0.5780  1 Zn 1.61
H: 0.0564 0.5780 0.0564  1 Zn 1.61
H: 0.4220 0.9436 0.9436  1 Zn 1.61
H: 0.5780 0.0564 0.0564  1 Zn 1.61
H: 0.9436 0.4220 0.9436  1 Zn 1.61
H: 0.9436 0.9436 0.4220  1 Zn 1.61



No. 5
Material: KBa2ZnH
Method: DFT, PBE-GGA
State: relaxed

The calculated total energy is -1.960 eV per atom. The calculation puts the magnetic moment at 0.0 μB/cell.

Cell lengths 5.7671, 5.7671, 5.2293 Å; angles 90.00, 90.00, 90.00 degrees
Last column: nearest neighbours and their distance in Å.
Sites, in units of the cell vectors:
K: 0.0000 0.0000 0.0000  2 H 2.61
Ba: 0.0000 0.5000 0.5000  2 H 2.88
Ba: 0.5000 0.0000 0.5000  2 H 2.88
Zn: 0.5000 0.5000 0.0000  8 Ba 3.89, 4 K 4.08
H: 0.0000 0.0000 0.5000  2 K 2.61, 4 Ba 2.88



No. 6
Material: KBaZnH2
Method: DFT, PBE-GGA
State: relaxed

The calculated total energy is -1.998 eV per atom. The calculation puts the magnetic moment at 0.0 μB/cell.

Cell lengths 5.0170, 5.0170, 9.2614 Å; angles 90.00, 90.00, 90.00 degrees
Last column: nearest neighbours and their distance in Å.
Sites, in units of the cell vectors:
K: 0.0000 0.0000 0.0000  4 Zn 3.55
Ba: 0.0000 0.0000 0.5000  4 H 2.51
Zn: 0.5000 0.5000 0.0000  4 K 3.55
H: 0.0000 0.5000 0.5000  2 Ba 2.51
H: 0.5000 0.0000 0.5000  2 Ba 2.51



No. 7
Material: BaLaH2
Method: DFT, PBE-GGA
State: relaxed

The energy above the most stable polymorph in this dataset is 463 meV per atom. The calculation puts the magnetic moment at 0.0 μB/cell.

Cell lengths 6.7865, 6.7865, 6.7865 Å; angles 90.00, 90.00, 90.00 degrees
Last column: nearest neighbours and their distance in Å.
Sites, in units of the cell vectors:
Ba: 0.0000 0.0000 0.0000  8 H 2.94
Ba: 0.0000 0.5000 0.5000  8 H 2.94
Ba: 0.5000 0.0000 0.5000  8 H 2.94
Ba: 0.5000 0.5000 0.0000  8 H 2.94
La: 0.0000 0.0000 0.5000  8 H 2.94
La: 0.0000 0.5000 0.0000  8 H 2.94
La: 0.5000 0.0000 0.0000  8 H 2.94
La: 0.5000 0.5000 0.5000  8 H 2.94
H: 0.2500 0.2500 0.2500  4 Ba 2.94, 4 La 2.94
H: 0.2500 0.2500 0.7500  4 Ba 2.94, 4 La 2.94
H: 0.2500 0.7500 0.2500  4 Ba 2.94, 4 La 2.94
H: 0.2500 0.7500 0.7500  4 Ba 2.94, 4 La 2.94
H: 0.7500 0.2500 0.2500  4 Ba 2.94, 4 La 2.94
H: 0.7500 0.2500 0.7500  4 Ba 2.94, 4 La 2.94
H: 0.7500 0.7500 0.2500  4 Ba 2.94, 4 La 2.94
H: 0.7500 0.7500 0.7500  4 La 2.94, 4 Ba 2.94



No. 8
Material: BaLa2H8
Method: DFT, PBE-GGA
State: relaxed

The calculated total energy is -4.073 eV per atom. The calculation puts the magnetic moment at 0.0 μB/cell.

Cell lengths 7.0120, 7.0120, 7.0120 Å; angles 146.78, 130.84, 60.63 degrees
Last column: nearest neighbours and their distance in Å.
Sites, in units of the cell vectors:
Ba: 0.0000 0.0000 0.0000  8 H 2.59-2.68
La: 0.3192 0.3192 0.0000  10 H 2.39-2.64
La: 0.6808 0.6808 0.0000  10 H 2.39-2.64
H: 0.1146 0.8343 0.2803  2 H 2.29-2.56, 3 La 2.39-2.48
H: 0.1775 0.6775 0.5000  2 H 2.29
H: 0.3047 0.5000 0.8047  1 H 2.28, 2 La 2.47
H: 0.4460 0.1657 0.2803  2 H 2.29-2.56, 3 La 2.39-2.48
H: 0.5540 0.8343 0.7197  2 H 2.29-2.56, 3 La 2.39-2.48
H: 0.6953 0.5000 0.1953  1 H 2.28, 2 La 2.47
H: 0.8225 0.3225 0.5000  2 H 2.29
H: 0.8854 0.1657 0.7197  2 H 2.29-2.56, 3 La 2.39-2.48



No. 9
Material: BaLaH2
Method: DFT, PBE-GGA
State: relaxed

The energy above the most stable polymorph in this dataset is 14 meV per atom. The calculation puts the magnetic moment at 0.0 μB/cell.

Cell lengths 5.8680, 5.8680, 11.4064 Å; angles 90.00, 90.00, 90.00 degrees
Last column: nearest neighbours and their distance in Å.
Sites, in units of the cell vectors:
Ba: 0.0000 0.0000 0.0000  4 H 2.69
Ba: 0.0000 0.5000 0.2500  4 H 2.69
Ba: 0.5000 0.0000 0.7500  4 H 2.69
Ba: 0.5000 0.5000 0.5000  4 H 2.69
La: 0.0000 0.0000 0.5000  4 H 2.37
La: 0.0000 0.5000 0.7500  4 H 2.37
La: 0.5000 0.0000 0.2500  4 H 2.37
La: 0.5000 0.5000 0.0000  4 H 2.37
H: 0.2024 0.2500 0.6250  2 La 2.37
H: 0.2500 0.7024 0.8750  2 La 2.37
H: 0.2500 0.7976 0.3750  2 La 2.37
H: 0.2976 0.2500 0.1250  2 La 2.37
H: 0.7024 0.7500 0.1250  2 La 2.37
H: 0.7500 0.2024 0.3750  2 La 2.37
H: 0.7500 0.2976 0.8750  2 La 2.37
H: 0.7976 0.7500 0.6250  2 La 2.37



No. 10
Material: BaLa2H7
Method: DFT, PBE-GGA
State: relaxed

The calculated total energy is -4.095 eV per atom. The calculation puts the magnetic moment at 0.0 μB/cell.

Cell lengths 9.1231, 9.1231, 9.1231 Å; angles 153.92, 153.92, 37.22 degrees
Last column: nearest neighbours and their distance in Å.
Sites, in units of the cell vectors:
Ba: 0.0000 0.0000 0.0000  12 H 2.70-2.91
La: 0.3350 0.3350 0.0000  8 H 2.33-2.53
La: 0.6650 0.6650 0.0000  8 H 2.33-2.53
H: 0.1014 0.6014 0.5000  2 La 2.33, 1 H 2.57
H: 0.2500 0.7500 0.5000  4 La 2.53, 2 H 2.57
H: 0.3986 0.8986 0.5000  2 La 2.33, 1 H 2.57
H: 0.5000 0.5000 0.0000  8 H 2.70, 2 La 2.85, 4 Ba 2.91
H: 0.6014 0.1014 0.5000  2 La 2.33, 1 H 2.57
H: 0.7500 0.2500 0.5000  4 La 2.53, 2 H 2.57
H: 0.8986 0.3986 0.5000  2 La 2.33, 1 H 2.57



Q: Look up the magnetic moment of the eighth one.
A: 0.0 μB/cell



Q: magnetic moment of number 6 (KBaZnH2)?
A: 0.0 μB/cell